A plane-wave DFT calculation with PBE was carried out for crystalline CsNaPaF6 at its relaxed geometry.

## Properties
Magnetization in μB/cell: 2.00
Space-group type: No. 163
Formation energy without anion corrections in eV per atom: -3.411
Raw total energy in eV per cell: -107.19

```
CsNaPaF6
1.0
-5.110 -3.556 0.296
4.783 -1.712 -3.611
4.921 -6.282 9.496
Cs Na Pa F
2 2 2 12
direct
0.000 0.000 0.000 Cs
0.000 0.000 0.500 Cs
0.333 0.667 0.250 Na
0.667 0.333 0.750 Na
0.667 0.333 0.250 Pa
0.333 0.667 0.750 Pa
0.632 0.612 0.153 F
0.980 0.368 0.153 F
0.368 0.980 0.653 F
0.020 0.632 0.847 F
0.388 0.368 0.347 F
0.980 0.612 0.347 F
0.612 0.980 0.847 F
0.632 0.020 0.347 F
0.020 0.388 0.653 F
0.388 0.020 0.153 F
0.612 0.632 0.653 F
0.368 0.388 0.847 F
```